# CaMgSi

A crystal of CaMgSi relaxed with PBEsol (SCAN, the Alexandria database).

Results
formation energy from raw total energies: -0.48 eV/atom

a b c (Å): 7.3939 4.3991 8.2389
angles (deg): 90.00 90.00 90.00
Closest atoms and distances in Å follow each position.
Space group Pnma (No. 62)
Symmetry-distinct sites (fractional):
Ca 0.0191 0.2500 0.1812 [4 per cell]  5 Si 3.07-3.18, 4 Mg 3.27-3.43
Mg 0.1450 0.2500 0.5639 [4 per cell]  4 Si 2.72-2.81
Si 0.2306 0.7500 0.3846 [4 per cell]  4 Mg 2.72-2.81

***

# CuTc2

A crystal of CuTc2 relaxed with PBEsol (SCAN, the Alexandria database).

Results
ΔE to the lowest computed polymorph: 0 meV per atom
energy of formation: 61 meV per atom

a b c (Å): 2.6979 13.7787 4.2384
angles (deg): 90.00 90.00 90.00
Closest atoms and distances in Å follow each position.
Space group Cmcm (No. 63)
Symmetry-distinct sites (fractional):
Cu 0.0000 0.1111 0.2500 [4 per cell]  10 Tc 2.59-2.71, 2 Cu 2.70
Tc 0.0000 0.2188 0.7500 [4 per cell]  4 Cu 2.59-2.71, 8 Tc 2.64-2.70
Tc 0.0000 0.4457 0.2500 [4 per cell]  6 Tc 2.59-2.70, 6 Cu 2.63-2.65

***

# Mn7As

A crystal of Mn7As relaxed with PBEsol (SCAN, the Alexandria database).

Results
energy of formation: -118 meV per atom

a b c (Å): 7.0928 7.0928 7.0928
angles (deg): 90.00 90.00 90.00
Closest atoms and distances in Å follow each position.
Space group Fm-3m (No. 225)
Symmetry-distinct sites (fractional):
Mn 0.0000 0.0000 0.0000 [4 per cell]  12 Mn 2.51
Mn 0.0000 0.2500 0.2500 [24 per cell]  10 Mn 2.51, 2 As 2.51
As 0.0000 0.0000 0.5000 [4 per cell]  12 Mn 2.51

***

no.,E (eV per atom)
1,-8.70
2,-28.38
3,-18.62